(1)
First-principles (PBE) data for a relaxed structure of CePm5Al4, as listed in Alexandria.

Properties
Energy of formation from the pure elements, eV per atom: -0.26
Size of the total moment, μB/cell: 0.34
Uncorrected energy, eV/atom: -4.729
ρ, g cm⁻³: 6.095

Cell: 3.5278 3.5278 21.3023 Å, 90.00 90.00 90.00°
Last column: nearest neighbours and their distance in Å.
Sites, in units of the cell vectors:
Ce1 0.0000 0.0000 0.0000  4 Ce 3.53, 8 Pm 3.56
Pm1 0.5000 0.5000 0.1191  4 Al 3.19, 4 Pm 3.53, 4 Ce 3.56
Pm2 0.5000 0.5000 0.3091  8 Al 3.21-3.23, 4 Pm 3.53
Pm3 0.5000 0.5000 0.5000  8 Al 3.22, 4 Pm 3.53
Pm4 0.5000 0.5000 0.6909  8 Al 3.21-3.23, 4 Pm 3.53
Pm5 0.5000 0.5000 0.8809  4 Al 3.19, 4 Pm 3.53, 4 Ce 3.56
Al1 0.0000 0.0000 0.2125  8 Pm 3.19-3.23, 4 Al 3.53
Al2 0.0000 0.0000 0.4043  8 Pm 3.21-3.22, 4 Al 3.53
Al3 0.0000 0.0000 0.5957  8 Pm 3.21-3.22, 4 Al 3.53
Al4 0.0000 0.0000 0.7875  8 Pm 3.19-3.23, 4 Al 3.53


(2)
First-principles (PBE) data for a relaxed structure of Al2ZnS, as listed in Alexandria.

Properties
Formation energy without anion corrections, eV per atom: -0.05
Relative energy among the computed polymorphs, meV per atom: 0
Size of the total moment, μB/cell: 0.00
Uncorrected energy, eV/atom: -3.269
ρ, g cm⁻³: 2.791

Cell: 5.9550 5.9550 6.5996 Å, 63.18 63.18 90.00°
Last column: nearest neighbours and their distance in Å.
Sites, in units of the cell vectors:
Zn1 0.0000 0.0000 0.0000  4 Al 2.50
Zn2 0.7500 0.2500 0.5000  4 Al 2.50
S1 0.5000 0.5000 0.0000  4 Al 2.42
S2 0.2500 0.7500 0.5000  4 Al 2.42
Al1 0.6149 0.1250 0.2500  2 S 2.42, 2 Zn 2.50
Al2 0.1351 0.6250 0.2500  2 S 2.42, 2 Zn 2.50
Al3 0.3750 0.3851 0.7500  2 S 2.42, 2 Zn 2.50
Al4 0.8750 0.8649 0.7500  2 S 2.42, 2 Zn 2.50


(3)
First-principles (PBE) data for a relaxed structure of Be2GaOs, as listed in Alexandria.

Properties
Energy of formation from the pure elements, eV per atom: 0.46
Size of the total moment, μB/cell: 0.00
Uncorrected energy, eV/atom: -4.970
ρ, g cm⁻³: 9.042

Cell: 6.4276 6.4276 5.1734 Å, 51.60 51.60 90.00°
Last column: nearest neighbours and their distance in Å.
Sites, in units of the cell vectors:
Be1 0.6399 0.1250 0.2500  2 Os 2.29, 2 Ga 2.42, 2 Be 2.48
Be2 0.1101 0.6250 0.2500  2 Os 2.29, 2 Ga 2.42, 2 Be 2.48
Be3 0.3750 0.3601 0.7500  2 Os 2.29, 2 Ga 2.42, 2 Be 2.48
Be4 0.8750 0.8899 0.7500  2 Os 2.29, 2 Ga 2.42, 2 Be 2.48
Os1 0.0000 0.0000 0.0000  4 Be 2.29, 2 Ga 2.47
Os2 0.7500 0.2500 0.5000  4 Be 2.29, 2 Ga 2.47
Ga1 0.5000 0.5000 0.0000  4 Be 2.42, 2 Os 2.47
Ga2 0.2500 0.7500 0.5000  4 Be 2.42, 2 Os 2.47


(4)
First-principles (PBE) data for a relaxed structure of BeCu5, as listed in Alexandria.

Properties
Energy of formation from the pure elements, eV per atom: 0.00
Relative energy among the computed polymorphs, meV per atom: 31
Size of the total moment, μB/cell: 0.00
Uncorrected energy, eV/atom: -4.034
ρ, g cm⁻³: 7.981

Cell: 5.5756 5.5756 3.6624 Å, 90.00 90.00 143.34°
Last column: nearest neighbours and their distance in Å.
Sites, in units of the cell vectors:
Be1 0.9723 0.0277 0.0000  12 Cu 2.44-2.54
Cu1 0.8080 0.1920 0.5000  10 Cu 2.47-2.61, 2 Be 2.53
Cu2 0.6326 0.3674 0.0000  2 Be 2.44, 10 Cu 2.50-2.61
Cu3 0.4722 0.5278 0.5000  8 Cu 2.47-2.50, 4 Be 2.54
Cu4 0.3118 0.6882 0.0000  2 Be 2.44, 10 Cu 2.50-2.61
Cu5 0.1364 0.8636 0.5000  10 Cu 2.47-2.61, 2 Be 2.52


(5)
First-principles (PBE) data for a relaxed structure of NaPtPb2, as listed in Alexandria.

Properties
Energy of formation from the pure elements, eV per atom: -0.06
Size of the total moment, μB/cell: 0.00
Uncorrected energy, eV/atom: -3.759
ρ, g cm⁻³: 11.236

Cell: 4.1324 4.7559 4.7559 Å, 90.00 90.00 90.00°
Last column: nearest neighbours and their distance in Å.
Sites, in units of the cell vectors:
Pb1 0.0000 0.0000 0.5000  4 Na 3.15, 4 Pt 3.15, 4 Pb 3.36
Pb2 0.0000 0.5000 0.0000  4 Na 3.15, 4 Pt 3.15, 4 Pb 3.36
Na1 0.5000 0.5000 0.5000  8 Pb 3.15, 4 Pt 3.36
Pt1 0.5000 0.0000 0.0000  8 Pb 3.15, 4 Na 3.36


(6)
First-principles (PBE) data for a relaxed structure of Nd2ErGa, as listed in Alexandria.

Properties
Energy of formation from the pure elements, eV per atom: -0.23
Relative energy among the computed polymorphs, meV per atom: 31
Size of the total moment, μB/cell: 0.00
Uncorrected energy, eV/atom: -4.508
ρ, g cm⁻³: 7.422

Cell: 3.6128 3.6128 9.0067 Å, 90.00 90.00 90.00°
Last column: nearest neighbours and their distance in Å.
Sites, in units of the cell vectors:
Nd1 0.0000 0.0000 0.7871  4 Ga 3.19
Nd2 0.0000 0.0000 0.2129  4 Ga 3.19
Ga1 0.5000 0.5000 0.0000  8 Nd 3.19
Er1 0.5000 0.5000 0.5000  4 Er 3.61, 8 Nd 3.63


(7)
First-principles (PBE) data for a relaxed structure of Fe2PAu, as listed in Alexandria.

Properties
Energy of formation from the pure elements, eV per atom: 0.23
Size of the total moment, μB/cell: 5.99
Uncorrected energy, eV/atom: -6.170
ρ, g cm⁻³: 10.043

Cell: 3.9287 3.7807 3.7807 Å, 90.00 90.00 90.00°
Last column: nearest neighbours and their distance in Å.
Sites, in units of the cell vectors:
Au1 0.5000 0.0000 0.5000  4 P 2.67, 8 Fe 2.73
Fe1 0.0000 0.0000 0.0000  4 Fe 2.67, 4 Au 2.73, 4 P 2.73
Fe2 0.0000 0.5000 0.5000  4 Fe 2.67, 4 P 2.73, 4 Au 2.73
P1 0.5000 0.5000 0.0000  4 Au 2.67, 8 Fe 2.73


(8)
First-principles (PBE) data for a relaxed structure of Tl6Ga2Sn, as listed in Alexandria.

Properties
Energy of formation from the pure elements, eV per atom: 0.06
Size of the total moment, μB/cell: 0.00
Uncorrected energy, eV/atom: -2.637
ρ, g cm⁻³: 9.624

Cell: 5.8290 9.5739 9.5739 Å, 99.94 98.47 98.47°
Last column: nearest neighbours and their distance in Å.
Sites, in units of the cell vectors:
Tl1 0.5355 0.3658 0.7656  2 Ga 3.27-3.39, 6 Tl 3.27-3.63, 1 Sn 3.46
Tl2 0.9645 0.2344 0.6342  2 Ga 3.27-3.39, 6 Tl 3.27-3.63, 1 Sn 3.46
Tl3 0.4645 0.6342 0.2344  2 Ga 3.27-3.39, 6 Tl 3.27-3.63, 1 Sn 3.46
Tl4 0.0355 0.7656 0.3658  2 Ga 3.27-3.39, 6 Tl 3.27-3.63, 1 Sn 3.46
Tl5 0.6504 0.8920 0.5715  2 Ga 3.02-3.25, 2 Tl 3.25-3.34, 1 Sn 3.37
Tl6 0.8496 0.4285 0.1080  2 Ga 3.02-3.25, 2 Tl 3.25-3.34, 1 Sn 3.37
Tl7 0.3496 0.1080 0.4285  2 Ga 3.02-3.25, 2 Tl 3.25-3.34, 1 Sn 3.37
Tl8 0.1504 0.5715 0.8920  2 Ga 3.02-3.25, 2 Tl 3.25-3.34, 1 Sn 3.37
Tl9 0.3006 0.2478 0.0650  3 Sn 3.28-3.59, 3 Tl 3.34-3.63, 2 Ga 3.43-3.48
Tl10 0.1994 0.9350 0.7522  3 Sn 3.28-3.59, 3 Tl 3.34-3.63, 2 Ga 3.43-3.48
Tl11 0.6994 0.7522 0.9350  3 Sn 3.28-3.59, 3 Tl 3.34-3.63, 2 Ga 3.43-3.48
Tl12 0.8006 0.0650 0.2478  3 Sn 3.28-3.59, 3 Tl 3.34-3.63, 2 Ga 3.43-3.48
Ga1 0.1410 0.3977 0.3860  3 Ga 2.68-2.92
Ga2 0.3590 0.6140 0.6023  3 Ga 2.68-2.92
Ga3 0.8590 0.6023 0.6140  3 Ga 2.68-2.92
Ga4 0.6410 0.3860 0.3977  3 Ga 2.68-2.92
Sn1 0.2500 0.9081 0.0919  10 Tl 3.28-3.59
Sn2 0.7500 0.0919 0.9081  10 Tl 3.28-3.59